# 1
A plane-wave DFT calculation with PBE was carried out for crystalline NdSm2Mg2In2 at its relaxed geometry.

```
7
Lattice="2.520 1.455 8.984 -2.520 1.455 8.984 0.000 -2.910 8.984" Properties=species:S:1:pos:R:3 pbc="T T T"
Nd 0.000 0.000 0.000
Sm 0.000 0.000 3.492
Sm 0.000 0.000 23.461
Mg 0.000 0.000 10.805
Mg 0.000 0.000 16.148
In 0.000 0.000 7.073
In 0.000 0.000 19.880
```

Results
Volume: 28.24 A^3/atom
E: -3.525 eV per atom

# 2
A plane-wave DFT calculation with PBE was carried out for crystalline TcSbPt at its relaxed geometry.

```
3
Lattice="-1.638 1.638 4.840 1.638 -1.638 4.840 1.638 1.638 -4.840" Properties=species:S:1:pos:R:3 pbc="T T T"
Tc 0.000 0.000 0.000
Sb 0.000 0.000 6.297
Pt 0.000 0.000 3.089
```

Results
E_form (uncorrected): 0.234 eV per atom
Volume: 17.31 A^3/atom
Energy above the lowest structure with this stoichiometry: 108.1 meV per atom
E: -6.609 eV per atom